An optimized crystal structure of K4PBr. Source: Alexandria via LeMat-Bulk, functional PBE-GGA.

Structure (POSCAR):
```
K4PBr
1.0
0.0000 4.7478 4.7478
4.7478 0.0000 4.7478
4.7478 4.7478 0.0000
K P Br
4 1 1
direct
0.8750 0.3750 0.3750
0.3750 0.8750 0.3750
0.3750 0.3750 0.8750
0.3750 0.3750 0.3750
0.7500 0.7500 0.7500
0.0000 0.0000 0.0000
```

Values from the calculation:
Symmetry ... No. 216
DOS(E_F) ... 6.71 states/eV/f.u.
E_form (uncorrected) ... 9.1 meV per atom
Crystal system ... cubic
Magnetic moment ... 0.20 μB per formula unit